[1]
! Pm2Dy2Y PBE-GGA optimized geometry; values from VASP
! energy of formation: 0.126 eV/atom
! E above lowest polymorph: 108 meV per atom
! total DFT energy (no corrections): -4.9075 eV/atom
! symmetry: Amm2, No. 38
&SYSTEM
  ibrav = 0, nat = 5, ntyp = 3
/
ATOMIC_SPECIES
Pm 145.00 Pm.upf
Dy 162.50 Dy.upf
Y 88.91 Y.upf
ATOMIC_POSITIONS angstrom
Pm 0.0000 0.0000 0.0000
Pm 1.7721 0.0000 6.9930
Dy 0.0000 0.0000 10.1220
Dy 1.7721 0.0000 13.2148
Y 0.0000 0.0000 3.8329
CELL_PARAMETERS angstrom
3.5441 0.0000 0.0000
0.0000 2.8983 8.1938
0.0000 -2.8983 8.1938


[2]
! Pm2Dy3Y3 PBE-GGA optimized geometry; values from VASP
! energy of formation: 0.022 eV/atom
! E above lowest polymorph: 19 meV per atom
! total DFT energy (no corrections): -5.3157 eV/atom
! symmetry: Immm, No. 71
&SYSTEM
  ibrav = 0, nat = 8, ntyp = 3
/
ATOMIC_SPECIES
Pm 145.00 Pm.upf
Dy 162.50 Dy.upf
Y 88.91 Y.upf
ATOMIC_POSITIONS angstrom
Pm 0.0000 0.0000 5.0535
Pm 0.0000 0.0000 15.1546
Dy 0.0000 0.0000 0.0000
Dy 2.5344 0.0000 2.5044
Dy 0.0000 2.5357 7.5996
Y 2.5344 0.0000 7.6003
Y 0.0000 0.0000 10.1040
Y 0.0000 2.5357 2.5037
CELL_PARAMETERS angstrom
-2.5344 2.5357 10.1040
2.5344 -2.5357 10.1040
2.5344 2.5357 -10.1040


Q: Number 1 is which compound?
A: Pm2Dy2Y


Q: Which of these has the highest energy of formation?
A: Pm2Dy2Y


Q: Which formula does entry 1 have?
A: Pm2Dy2Y